1.
Nd6Tm8Tl: relaxed, PBE.

Total energy in eV/cell: -65.54

Structure (CIF):
```
data_Nd6Tm8Tl
_chemical_formula_sum 'Nd6 Tm8 Tl1'
_symmetry_space_group_name_H-M 'P -3'
_symmetry_Int_Tables_number 147
_cell_length_a 9.4606
_cell_length_b 9.4606
_cell_length_c 6.3109
_cell_angle_alpha 90.00
_cell_angle_beta 90.00
_cell_angle_gamma 120.00
loop_
_symmetry_equiv_pos_as_xyz
'x,y,z'
'-x,-y,-z'
'-y,x-y,z'
'y,-x+y,-z'
'-x+y,-x,z'
'x-y,x,-z'
loop_
_atom_site_label
_atom_site_type_symbol
_atom_site_fract_x
_atom_site_fract_y
_atom_site_fract_z
_atom_site_occupancy
Nd1 Nd 0.0895 0.6374 0.3108 1
Tm1 Tm 0.0399 0.7777 0.8105 1
Tm2 Tm 0.3333 0.6667 0.8190 1
Tl1 Tl 0.0000 0.0000 0.5000 1
```

=====

2.
NbCdNiRu: relaxed, PBE.

Total energy in eV/cell: -103.74

Structure (CIF):
```
data_NbCdNiRu
_chemical_formula_sum 'Nb4 Cd4 Ni4 Ru4'
_symmetry_space_group_name_H-M 'F -4 3 m'
_symmetry_Int_Tables_number 216
_symmetry_space_group_name_Hall 'F -4 2 3'
_cell_length_a 6.309
_cell_length_b 6.309
_cell_length_c 6.309
_cell_angle_alpha 90.00
_cell_angle_beta 90.00
_cell_angle_gamma 90.00
loop_
_atom_site_label
_atom_site_type_symbol
_atom_site_fract_x
_atom_site_fract_y
_atom_site_fract_z
_atom_site_occupancy
Nb1 Nb 0.000 0.000 0.000 1
Cd1 Cd 0.000 0.000 0.500 1
Ni1 Ni 0.250 0.250 0.750 1
Ru1 Ru 0.250 0.250 0.250 1
```

=====

Copy entry 2 word for word.
NbCdNiRu: relaxed, PBE.

Total energy in eV/cell: -103.74

Structure (CIF):
```
data_NbCdNiRu
_chemical_formula_sum 'Nb4 Cd4 Ni4 Ru4'
_symmetry_space_group_name_H-M 'F -4 3 m'
_symmetry_Int_Tables_number 216
_symmetry_space_group_name_Hall 'F -4 2 3'
_cell_length_a 6.309
_cell_length_b 6.309
_cell_length_c 6.309
_cell_angle_alpha 90.00
_cell_angle_beta 90.00
_cell_angle_gamma 90.00
loop_
_atom_site_label
_atom_site_type_symbol
_atom_site_fract_x
_atom_site_fract_y
_atom_site_fract_z
_atom_site_occupancy
Nb1 Nb 0.000 0.000 0.000 1
Cd1 Cd 0.000 0.000 0.500 1
Ni1 Ni 0.250 0.250 0.750 1
Ru1 Ru 0.250 0.250 0.250 1
```